A geometry-optimized TmGe2SbO8 structure. Source: the Alexandria database, functional PBE.

Cell and atoms, written as extended XYZ:
```
12
Lattice="5.769 0.122 0.000 -2.449 5.224 0.000 -1.660 -2.673 4.837" Properties=species:S:1:pos:R:3 pbc="T T T"
Tm -1.225 2.612 2.418
Ge 2.884 0.061 2.418
Ge 1.660 2.673 0.000
Sb 0.000 0.000 0.000
O 1.464 -0.463 1.489
O 0.253 2.046 0.865
O 0.062 -1.539 3.972
O 3.044 -1.444 3.348
O 3.067 3.300 0.865
O 4.304 0.585 1.489
O 2.725 1.566 3.348
O -0.062 1.539 3.972
```

Properties
Symmetry ... I-4m2 (119)
E_form (uncorrected) ... -1.8856 eV/atom